Material: K2PbClO
Method: DFT, GGA-PBEsol
State: optimized geometry

Values from the calculation:
Fermi-level density of states: 2.62 states/eV/f.u.
formation energy from raw total energies: -5.0 eV per formula unit
uncorrected energy: -3.7081 eV/atom

Cell lengths 5.3237, 5.3237, 4.7520 Å; angles 90.00, 90.00, 90.00 degrees
Space group P4/mmm (No. 123)
Unique sites:
K  0.0000  0.5000  0.0000 (multiplicity 2)
Pb  0.0000  0.0000  0.5000 (multiplicity 1)
Cl  0.5000  0.5000  0.5000 (multiplicity 1)
O  0.0000  0.0000  0.0000 (multiplicity 1)